A.
Entry from the Alexandria database: a geometry-optimized In2WAu structure (PBEsol).

abc: 3.0090 3.0090 9.5689
angles: 80.95 80.95 60.00
Closest atoms and distances in Å follow each position.
Element x y z (fractional)
Au  0.0000  0.0000  0.0000  6 In 2.93, 6 Au 3.01
In  0.7503  0.7503  0.7490  3 W 2.92, 3 Au 2.93, 6 In 3.01
In  0.2497  0.2497  0.2510  3 W 2.92, 3 Au 2.93, 6 In 3.01
W  0.5000  0.5000  0.5000  6 In 2.92, 6 W 3.01

Computed properties:
- Magnetization: 0.00 Bohr magnetons per cell

=====

B.
Entry from the Alexandria database: a geometry-optimized In2WAu structure (PBEsol).

abc: 2.9291 4.9975 5.3915
angles: 101.65 90.00 107.04
Closest atoms and distances in Å follow each position.
Element x y z (fractional)
W  0.0000  0.0000  0.5000  6 In 2.88-2.95, 2 W 2.93, 4 Au 3.07
Au  0.5000  0.0000  0.0000  6 In 2.88-3.01, 2 Au 2.93, 4 W 3.07
In  0.7510  0.5019  0.7444  3 W 2.88-2.95, 3 Au 2.88-3.01, 6 In 2.93-3.12
In  0.2490  0.4981  0.2556  3 W 2.88-2.95, 3 Au 2.88-3.01, 6 In 2.93-3.12

Computed properties:
- Magnetization: 0.00 Bohr magnetons per cell

=====

C.
Entry from the Alexandria database: a geometry-optimized In2WAu structure (PBEsol).

abc: 3.4402 3.4402 6.2113
angles: 90.00 90.00 90.00
Closest atoms and distances in Å follow each position.
Element x y z (fractional)
In  0.0000  0.0000  0.2406  4 W 2.85, 4 Au 2.92, 1 In 2.99
Au  0.5000  0.5000  0.5000  8 In 2.92, 2 W 3.11
In  0.0000  0.0000  0.7594  4 W 2.85, 4 Au 2.92, 1 In 2.99
W  0.5000  0.5000  0.0000  8 In 2.85, 2 Au 3.11

Computed properties:
- Magnetization: 0.00 Bohr magnetons per cell

=====

Computed stability ranking, most favorable first: A, B, C

=====

A.
Entry from the Alexandria database: a geometry-optimized In2WAu structure (PBEsol).

abc: 2.9541 2.9541 9.2108
angles: 90.00 90.00 112.72
Closest atoms and distances in Å follow each position.
Element x y z (fractional)
Au  0.5000  0.5000  0.0000  4 In 2.84, 4 Au 2.95
In  0.0000  0.0000  0.2522  2 W 2.81, 2 Au 2.84, 4 In 2.95
In  0.0000  0.0000  0.7478  2 W 2.81, 2 Au 2.84, 4 In 2.95
W  0.5000  0.5000  0.5000  4 In 2.81, 4 W 2.95

Computed properties:
- Magnetization: 0.00 Bohr magnetons per cell

=====

B.
Entry from the Alexandria database: a geometry-optimized In2WAu structure (PBEsol).

abc: 4.7336 4.7336 4.7336
angles: 60.00 60.00 60.00
Closest atoms and distances in Å follow each position.
Element x y z (fractional)
Au  0.5000  0.5000  0.5000  4 In 2.90, 4 W 2.90
In  0.0000  0.0000  0.0000  4 In 2.90, 4 W 2.90
In  0.2500  0.2500  0.2500  4 In 2.90, 4 Au 2.90
W  0.7500  0.7500  0.7500  4 In 2.90, 4 Au 2.90

Computed properties:
- Magnetization: 1.00 Bohr magnetons per cell

=====

C.
Entry from the Alexandria database: a geometry-optimized In2WAu structure (PBEsol).

abc: 3.0131 5.1669 5.6328
angles: 117.30 105.51 90.00
Closest atoms and distances in Å follow each position.
Element x y z (fractional)
W  0.5000  0.0000  0.0000  4 In 2.86, 4 Au 2.99, 2 W 3.01
Au  0.0000  0.5000  0.0000  4 In 2.79, 4 W 2.99, 2 Au 3.01
In  0.7456  0.7456  0.4911  2 Au 2.79, 2 W 2.86, 6 In 2.99-3.01
In  0.2544  0.2544  0.5089  2 Au 2.79, 2 W 2.86, 6 In 2.99-3.01

Computed properties:
- Magnetization: 0.00 Bohr magnetons per cell

=====

Computed stability ranking, most favorable first: A, C, B

=====

A.
Entry from the Alexandria database: a geometry-optimized Zn2InAu2 structure (PBEsol).

abc: 3.6920 3.6920 7.0498
angles: 105.18 105.18 90.00
Closest atoms and distances in Å follow each position.
Element x y z (fractional)
In  0.0000  0.0000  0.0000  8 Au 2.96
Au  0.3934  0.3934  0.7869  4 Zn 2.63, 1 Au 2.79
Zn  0.7500  0.2500  0.5000  4 Zn 2.61, 4 Au 2.63
Zn  0.2500  0.7500  0.5000  4 Zn 2.61, 4 Au 2.63
Au  0.6066  0.6066  0.2131  4 Zn 2.63, 1 Au 2.79

Computed properties:
- Magnetization: 0.00 Bohr magnetons per cell

=====

B.
Entry from the Alexandria database: a geometry-optimized Zn2InAu2 structure (PBEsol).

abc: 2.8791 7.7862 7.7862
angles: 90.00 90.00 90.00
Closest atoms and distances in Å follow each position.
Element x y z (fractional)
Au  0.0000  0.8340  0.6660  6 Zn 2.67-2.73, 2 Au 2.88, 2 In 2.90
Zn  0.5000  0.3703  0.1297  6 Au 2.67-2.73, 3 Zn 2.86-2.88
Zn  0.5000  0.8703  0.3703  6 Au 2.67-2.73, 3 Zn 2.86-2.88
Zn  0.5000  0.6297  0.8703  6 Au 2.67-2.73, 3 Zn 2.86-2.88
Zn  0.5000  0.1297  0.6297  6 Au 2.67-2.73, 3 Zn 2.86-2.88
Au  0.0000  0.6660  0.1660  6 Zn 2.67-2.73, 2 Au 2.88, 2 In 2.90
In  0.0000  0.0000  0.0000  2 In 2.88, 4 Au 2.90
In  0.0000  0.5000  0.5000  2 In 2.88, 4 Au 2.90
Au  0.0000  0.1660  0.3340  6 Zn 2.67-2.73, 2 Au 2.88, 2 In 2.90
Au  0.0000  0.3340  0.8340  6 Zn 2.67-2.73, 2 Au 2.88, 2 In 2.90

Computed properties:
- Magnetization: 0.00 Bohr magnetons per cell

=====

Computed stability ranking, most favorable first: A, B

=====

A.
Entry from the Alexandria database: a geometry-optimized Zr2InAu2 structure (PBEsol).

abc: 3.5817 7.4777 7.4777
angles: 90.00 90.00 90.00
Closest atoms and distances in Å follow each position.
Element x y z (fractional)
Au  0.0000  0.6283  0.1283  1 Au 2.71, 6 Zr 2.77-2.89, 2 In 2.94
Zr  0.5000  0.6721  0.8279  6 Au 2.77-2.89
Zr  0.5000  0.8279  0.3279  6 Au 2.77-2.89
Au  0.0000  0.3717  0.8717  1 Au 2.71, 6 Zr 2.77-2.89, 2 In 2.94
Zr  0.5000  0.1721  0.6721  6 Au 2.77-2.89
Au  0.0000  0.1283  0.3717  1 Au 2.71, 6 Zr 2.77-2.89, 2 In 2.94
Au  0.0000  0.8717  0.6283  1 Au 2.71, 6 Zr 2.77-2.89, 2 In 2.94
In  0.0000  0.0000  0.0000  4 Au 2.94
In  0.0000  0.5000  0.5000  4 Au 2.94
Zr  0.5000  0.3279  0.1721  6 Au 2.77-2.89

Computed properties:
- Magnetization: 0.00 Bohr magnetons per cell

=====

B.
Entry from the Alexandria database: a geometry-optimized Zr2InAu2 structure (PBEsol).

abc: 7.0161 7.5020 7.5020
angles: 90.00 90.00 90.00
Closest atoms and distances in Å follow each position.
Element x y z (fractional)
Au  0.2965  0.1292  0.8708  2 Au 2.74-2.86, 6 Zr 2.78-2.93, 2 In 2.96
Zr  0.0000  0.3027  0.6973  6 Au 2.78-2.88
Zr  0.5000  0.8027  0.8027  6 Au 2.78-2.88
Au  0.7035  0.8708  0.1292  2 Au 2.74-2.86, 6 Zr 2.78-2.93, 2 In 2.96
Au  0.2035  0.6292  0.6292  2 Au 2.74-2.86, 6 Zr 2.78-2.93, 2 In 2.96
Zr  0.0000  0.6973  0.3027  6 Au 2.78-2.88
In  0.2500  0.0000  0.5000  4 Au 2.96, 4 Zr 3.23
Zr  0.5000  0.3540  0.6460  6 Au 2.78-2.93, 1 Zr 3.10
In  0.7500  0.0000  0.5000  4 Au 2.96, 4 Zr 3.23
In  0.7500  0.5000  0.0000  4 Au 2.96, 4 Zr 3.23
Au  0.2965  0.8708  0.1292  2 Au 2.74-2.86, 6 Zr 2.78-2.93, 2 In 2.96
Au  0.7035  0.1292  0.8708  2 Au 2.74-2.86, 6 Zr 2.78-2.93, 2 In 2.96
Au  0.7965  0.6292  0.6292  2 Au 2.74-2.86, 6 Zr 2.78-2.93, 2 In 2.96
Au  0.7965  0.3708  0.3708  2 Au 2.74-2.86, 6 Zr 2.78-2.93, 2 In 2.96
Zr  0.0000  0.1460  0.1460  6 Au 2.78-2.93, 1 Zr 3.10
Au  0.2035  0.3708  0.3708  2 Au 2.74-2.86, 6 Zr 2.78-2.93, 2 In 2.96
Zr  0.0000  0.8540  0.8540  6 Au 2.78-2.93, 1 Zr 3.10
Zr  0.5000  0.6460  0.3540  6 Au 2.78-2.93, 1 Zr 3.10
In  0.2500  0.5000  0.0000  4 Au 2.96, 4 Zr 3.23
Zr  0.5000  0.1973  0.1973  6 Au 2.78-2.88

Computed properties:
- Magnetization: 0.00 Bohr magnetons per cell

=====

Computed stability ranking, most favorable first: B, A

=====

A.
Entry from the Alexandria database: a geometry-optimized LaIrAu structure (PBEsol).

abc: 3.2281 3.9652 5.4388
angles: 111.38 107.26 90.00
Closest atoms and distances in Å follow each position.
Element x y z (fractional)
La  0.3266  0.3266  0.6532  5 Au 2.95-3.15, 5 Ir 3.04-3.15, 2 La 3.23
Au  0.0191  0.0191  0.0381  4 Ir 2.87, 5 La 2.95-3.15
Ir  0.6544  0.6544  0.3087  4 Au 2.87, 5 La 3.04-3.15

Computed properties:
- Magnetization: 0.00 Bohr magnetons per cell

=====

B.
Entry from the Alexandria database: a geometry-optimized LaIrAu structure (PBEsol).

abc: 3.8731 4.4865 4.4865
angles: 120.00 90.00 90.00
Closest atoms and distances in Å follow each position.
Element x y z (fractional)
Ir  0.0000  0.3333  0.6667  3 Au 2.59
La  0.5000  0.6667  0.3333  6 Ir 3.23, 6 Au 3.23
Au  0.0000  0.0000  0.0000  3 Ir 2.59

Computed properties:
- Magnetization: 0.00 Bohr magnetons per cell

=====

C.
Entry from the Alexandria database: a geometry-optimized LaIrAu structure (PBEsol).

abc: 4.6544 4.6544 4.6544
angles: 60.00 60.00 60.00
Closest atoms and distances in Å follow each position.
Element x y z (fractional)
Au  0.2500  0.2500  0.2500  4 Ir 2.85, 4 La 2.85
Ir  0.0000  0.0000  0.0000  4 Au 2.85
La  0.5000  0.5000  0.5000  4 Au 2.85

Computed properties:
- Magnetization: 0.00 Bohr magnetons per cell

=====

Computed stability ranking, most favorable first: B, A, C

=====

A.
Entry from the Alexandria database: a geometry-optimized NiIrAu2 structure (PBEsol).

abc: 3.8966 3.8966 4.7511
angles: 114.21 114.21 90.00
Closest atoms and distances in Å follow each position.
Element x y z (fractional)
Au  0.0000  0.0000  0.0000  4 Au 2.75, 4 Ni 2.75, 4 Ir 2.76
Ir  0.5000  0.5000  0.0000  4 Ni 2.75, 8 Au 2.75-2.76
Ni  0.2500  0.7500  0.5000  4 Ir 2.75, 8 Au 2.75-2.76
Au  0.7500  0.2500  0.5000  4 Au 2.75, 4 Ir 2.75, 4 Ni 2.76

Computed properties:
- Magnetization: 1.29 Bohr magnetons per cell

=====

B.
Entry from the Alexandria database: a geometry-optimized NiIrAu2 structure (PBEsol).

abc: 2.7590 4.6492 4.6373
angles: 90.00 90.00 90.00
Closest atoms and distances in Å follow each position.
Element x y z (fractional)
Ir  0.5000  0.5000  0.0000  4 Ni 2.70, 4 Au 2.70, 2 Ir 2.76
Au  0.0000  0.0000  0.0000  6 Au 2.70-2.76, 4 Ir 2.70
Ni  0.0000  0.5000  0.5000  4 Ir 2.70, 4 Au 2.70, 2 Ni 2.76
Au  0.5000  0.0000  0.5000  6 Au 2.70-2.76, 4 Ni 2.70

Computed properties:
- Magnetization: 0.25 Bohr magnetons per cell

=====

C.
Entry from the Alexandria database: a geometry-optimized NiIrAu2 structure (PBEsol).

abc: 2.7670 4.6304 4.6304
angles: 90.00 90.00 90.00
Closest atoms and distances in Å follow each position.
Element x y z (fractional)
Au  0.0000  0.0000  0.5000  4 Ni 2.70, 4 Ir 2.70, 2 Au 2.77
Au  0.0000  0.5000  0.0000  4 Ir 2.70, 4 Ni 2.70, 2 Au 2.77
Ni  0.5000  0.0000  0.0000  8 Au 2.70, 2 Ni 2.77
Ir  0.5000  0.5000  0.5000  8 Au 2.70, 2 Ir 2.77

Computed properties:
- Magnetization: 0.69 Bohr magnetons per cell

=====

Computed stability ranking, most favorable first: A, C, B